1.
This record from the Alexandria database describes Tb3Pr6SmTm2 after structural relaxation. The functional is PBE.

Cell: 6.3117 6.3117 11.9091 Å, 95.05 95.05 120.00°
Fractional positions:
Tb  0.0000  0.0000  0.0000
Tb  0.3332  0.6668  0.0000
Tb  0.6668  0.3332  0.0000
Pr  0.0823  0.4164  0.2506
Pr  0.2497  0.2497  0.7492
Pr  0.4164  0.0823  0.2506
Pr  0.5836  0.9177  0.7494
Pr  0.7503  0.7503  0.2508
Pr  0.9177  0.5836  0.7494
Sm  0.5000  0.5000  0.5000
Tm  0.1666  0.8334  0.5000
Tm  0.8334  0.1666  0.5000

Summary:
**Density of states at the Fermi level**: 13.602 states/eV/cell
**ΔE_f**: 0.01 eV/atom
**V**: 404 Å³/cell
**Calculated total energy**: -4.6732 eV/atom

2.
This record from the Alexandria database describes Tb2Pr4Sm2Tm after structural relaxation. The functional is PBE.

Cell: 8.1480 8.1480 8.1092 Å, 107.64 107.64 36.87°
Fractional positions:
Tb  0.1665  0.1665  0.9999
Tb  0.8335  0.8335  0.0001
Pr  0.0544  0.0544  0.3305
Pr  0.2779  0.2779  0.6695
Pr  0.7221  0.7221  0.3305
Pr  0.9456  0.9456  0.6695
Sm  0.3885  0.3885  0.3292
Sm  0.6115  0.6115  0.6708
Tm  0.5000  0.5000  0.0000

Summary:
**Density of states at the Fermi level**: 14.459 states/eV/cell
**ΔE_f**: 0.02 eV/atom
**V**: 306 Å³/cell
**Calculated total energy**: -4.6777 eV/atom

3.
This record from the Alexandria database describes Tb6PrSm2Tm3 after structural relaxation. The functional is PBE.

Cell: 6.1773 6.1773 11.8133 Å, 94.98 94.98 119.97°
Fractional positions:
Tb  0.0855  0.4194  0.7548
Tb  0.2483  0.2483  0.2451
Tb  0.4194  0.0855  0.7548
Tb  0.5806  0.9145  0.2452
Tb  0.7517  0.7517  0.7549
Tb  0.9145  0.5806  0.2452
Pr  0.0000  0.0000  0.5000
Sm  0.3335  0.6665  0.5000
Sm  0.6665  0.3335  0.5000
Tm  0.1669  0.8331  0.0000
Tm  0.5000  0.5000  0.0000
Tm  0.8331  0.1669  0.0000

Summary:
**Density of states at the Fermi level**: 15.949 states/eV/cell
**ΔE_f**: 0.02 eV/atom
**V**: 385 Å³/cell
**Calculated total energy**: -4.5983 eV/atom

4.
This record from the Alexandria database describes Tb6Pr3SmTm2 after structural relaxation. The functional is PBE.

Cell: 6.2251 6.2251 11.9002 Å, 94.99 94.99 119.99°
Fractional positions:
Tb  0.0839  0.4180  0.7548
Tb  0.2479  0.2479  0.2452
Tb  0.4180  0.0839  0.7548
Tb  0.5820  0.9161  0.2452
Tb  0.7521  0.7521  0.7548
Tb  0.9161  0.5820  0.2452
Pr  0.0000  0.0000  0.5000
Pr  0.3331  0.6669  0.5000
Pr  0.6669  0.3331  0.5000
Sm  0.5000  0.5000  0.0000
Tm  0.1668  0.8332  0.0000
Tm  0.8332  0.1668  0.0000

Summary:
**Density of states at the Fermi level**: 15.965 states/eV/cell
**ΔE_f**: 0.02 eV/atom
**V**: 393 Å³/cell
**Calculated total energy**: -4.6292 eV/atom